The following is a DFT calculation (PBE) of a geometry-optimized LaPt3 structure.

a = 4.2319 Å, b = 4.2319 Å, c = 4.2319 Å
α = 90.00°, β = 90.00°, γ = 90.00°
Last column: nearest neighbours and their distance in Å.
Atoms (fractional coordinates):
La 0.0000 0.0000 0.0000  12 Pt 2.99
Pt 0.0000 0.5000 0.5000  4 La 2.99, 8 Pt 2.99
Pt 0.5000 0.0000 0.5000  4 La 2.99, 8 Pt 2.99
Pt 0.5000 0.5000 0.0000  4 La 2.99, 8 Pt 2.99

Values from the calculation:
Its density of states at the Fermi level is 4.512 states/eV/cell. For the formation energy, the calculation gives -0.86 eV per atom. The calculation puts the total energy at -26.5 eV/f.u.